No. 1
Compound: LiPtO2F
Source: Alexandria via LeMat-Bulk
Functional: PBE-GGA
Structure: optimized geometry

Properties
Crystal system: tetragonal
Total DFT energy (no corrections) (eV/cell): -20.3

abc: 3.771 3.771 3.335
angles: 90.00 90.00 90.00
Space group P4/mmm (No. 123)
Symmetry-distinct sites (fractional):
Li 0.000 0.000 0.000 (multiplicity 1)
Pt 0.500 0.500 0.500 (multiplicity 1)
O 0.000 0.500 0.000 (multiplicity 2)
F 0.000 0.000 0.500 (multiplicity 1)

No. 2
Compound: Ac3Zn2Ru2N3
Source: Alexandria via LeMat-Bulk
Functional: PBE-GGA
Structure: optimized geometry

Properties
Crystal system: tetragonal
Total DFT energy (no corrections) (eV/cell): -126.2

abc: 4.048 4.048 23.840
angles: 90.00 90.00 90.00
Space group I4/mmm (No. 139)
Symmetry-distinct sites (fractional):
Ac 0.000 0.000 0.000 (multiplicity 2)
Ac 0.000 0.000 0.385 (multiplicity 4)
Zn 0.000 0.500 0.250 (multiplicity 4)
Ru 0.000 0.000 0.186 (multiplicity 4)
N 0.000 0.000 0.106 (multiplicity 4)
N 0.000 0.000 0.500 (multiplicity 2)

No. 3
Compound: Tb4Ag3
Source: Alexandria via LeMat-Bulk
Functional: PBE-GGA
Structure: optimized geometry

Properties
Energy of formation (meV per atom): -154
Excess energy over the best structure of this formula in the dataset (meV/atom): 50
Crystal system: trigonal
Total DFT energy (no corrections) (eV/cell): -84.5

abc: 5.1166 5.1166 24.9154
angles: 90.00 90.00 120.00
Space group R-3m (No. 166, hexagonal axes)
Symmetry-distinct sites (fractional):
Tb 0.0000 0.0000 0.1225 (multiplicity 6)
Tb 0.0000 0.0000 0.3731 (multiplicity 6)
Ag 0.0000 0.0000 0.2500 (multiplicity 6)
Ag 0.0000 0.0000 0.5000 (multiplicity 3)

No. 4
Compound: Ho4ErSc3
Source: Alexandria via LeMat-Bulk
Functional: PBE-GGA
Structure: optimized geometry

Properties
Energy of formation (meV per atom): 91
Excess energy over the best structure of this formula in the dataset (meV/atom): 40
Crystal system: orthorhombic
Total DFT energy (no corrections) (eV/cell): -82.3

abc: 10.871 6.534 6.449
angles: 90.00 90.00 90.00
Space group Pmn2_1 (No. 31)
Symmetry-distinct sites (fractional):
Ho 0.000 0.167 0.000 (multiplicity 2)
Ho 0.000 0.670 0.152 (multiplicity 2)
Ho 0.225 0.055 0.310 (multiplicity 4)
Er 0.000 0.791 0.639 (multiplicity 2)
Sc 0.000 0.319 0.529 (multiplicity 2)
Sc 0.236 0.440 0.896 (multiplicity 4)

| no. | size of the total moment (μB/cell) |
| --- | --- |
| 1 | 0.91 |
| 2 | 1.89 |
| 3 | 0.00 |
| 4 | 0.00 |